1.
Density functional theory data (meta-GGA SCAN) for Ta2InPt at its PBEsol-relaxed geometry.

Cell: 2.919 2.919 9.681 Å, 81.33 81.33 60.00°
Positions (direct):
Ta: 0.255 0.255 0.236
Ta: 0.745 0.745 0.764
In: 0.500 0.500 0.500
Pt: 0.000 0.000 0.000

formation energy	-0.06	eV per atom
total magnetic moment	0.00	μB/cell
space group	No. 166

2.
Density functional theory data (meta-GGA SCAN) for Sb3Pt at its PBEsol-relaxed geometry.

Cell: 3.564 4.606 6.498 Å, 110.76 105.92 90.00°
Positions (direct):
Sb: 0.317 0.317 0.634
Sb: 0.500 0.000 0.000
Pt: 0.000 0.500 0.000
Sb: 0.683 0.683 0.366

uncorrected formation energy	-19.3	kJ/mol of formula units
total magnetic moment	0.00	μB/cell
space group	No. 71

3.
Density functional theory data (meta-GGA SCAN) for BeHgW2 at its PBEsol-relaxed geometry.

Cell: 2.788 2.788 7.625 Å, 90.00 90.00 97.54°
Positions (direct):
Be: 0.500 0.500 0.500
W: 0.000 0.000 0.700
W: 0.000 0.000 0.300
Hg: 0.500 0.500 0.000

formation energy	0.56	eV per atom
total magnetic moment	0.00	μB/cell
space group	No. 65

4.
Density functional theory data (meta-GGA SCAN) for Er2Se3 at its PBEsol-relaxed geometry.

Cell: 8.469 8.469 14.062 Å, 107.53 107.53 90.00°
Positions (direct):
Se: 0.783 0.535 0.709
Se: 0.139 0.747 0.633
Se: 0.423 0.676 0.209
Se: 0.115 0.861 0.367
Er: 0.508 0.375 0.250
Er: 0.742 0.875 0.250
Se: 0.596 0.839 0.033
Se: 0.161 0.563 0.967
Er: 0.422 0.531 0.579
Se: 0.806 0.404 0.967
Se: 0.785 0.533 0.209
Se: 0.493 0.885 0.633
Se: 0.926 0.173 0.709
Er: 0.469 0.843 0.421
Se: 0.437 0.194 0.033
Er: 0.298 0.907 0.079
Er: 0.125 0.492 0.750
Se: 0.111 0.865 0.867
Er: 0.417 0.917 0.834
Se: 0.324 0.215 0.791
Se: 0.444 0.187 0.533
Se: 0.757 0.003 0.867
Er: 0.952 0.578 0.421
Se: 0.465 0.074 0.291
Er: 0.083 0.583 0.166
Er: 0.625 0.258 0.750
Se: 0.827 0.217 0.291
Er: 0.828 0.702 0.921
Se: 0.089 0.346 0.533
Se: 0.253 0.507 0.367
Er: 0.167 0.167 0.334
Er: 0.833 0.833 0.666
Se: 0.135 0.243 0.133
Se: 0.654 0.556 0.467
Se: 0.997 0.889 0.133
Er: 0.157 0.048 0.579
Er: 0.781 0.172 0.079
Er: 0.093 0.219 0.921
Se: 0.467 0.577 0.791
Se: 0.813 0.911 0.467

uncorrected formation energy	-971.0	kJ/mol of formula units
total magnetic moment	0.00	μB/cell
space group	No. 122

5.
Density functional theory data (meta-GGA SCAN) for MgZnAs2 at its PBEsol-relaxed geometry.

Cell: 2.894 4.684 5.396 Å, 90.00 90.00 90.00°
Positions (direct):
As: 0.000 0.375 0.500
As: 0.500 0.875 0.000
Zn: 0.500 0.875 0.500
Mg: 0.000 0.375 0.000

formation energy	-0.12	eV per atom
total magnetic moment	0.00	μB/cell
space group	No. 47

6.
Density functional theory data (meta-GGA SCAN) for AsIr2Os at its PBEsol-relaxed geometry.

Cell: 2.775 2.775 7.583 Å, 90.00 90.00 90.00°
Positions (direct):
Ir: 0.000 0.000 0.760
As: 0.500 0.500 0.500
Ir: 0.000 0.000 0.240
Os: 0.500 0.500 0.000

formation energy	0.23	eV per atom
total magnetic moment	0.00	μB/cell
space group	No. 123

> What is the formula in the second record?

Sb3Pt